VASP calculation (PBE) on a relaxed structure of Cs2SrCoCl6.

Cell and atoms, written as POSCAR:
```
Cs2SrCoCl6
1.0
0.000 5.339 5.339
5.339 0.000 5.339
5.339 5.339 0.000
Cs Sr Co Cl
2 1 1 6
direct
0.250 0.250 0.250
0.750 0.750 0.750
0.000 0.000 0.000
0.500 0.500 0.500
0.269 0.269 0.731
0.269 0.731 0.269
0.269 0.731 0.731
0.731 0.269 0.269
0.731 0.269 0.731
0.731 0.731 0.269
```

Results
Formation energy (no corrections) = -1.69 eV per atom
Density of states at the Fermi level = 11.275 states/eV/cell
SG = No. 225